## MgSiI2 (GGA-PBE)

Data for a relaxed structure of MgSiI2.

a b c (Å): 8.115 8.115 6.835
angles (deg): 53.58 53.58 90.00
Element x y z (fractional)
Si (0.000, 0.000, 0.000)
Si (0.750, 0.250, 0.500)
I (0.875, 0.865, 0.750)
I (0.615, 0.125, 0.250)
I (0.135, 0.625, 0.250)
I (0.375, 0.385, 0.750)
Mg (0.250, 0.750, 0.500)
Mg (0.500, 0.500, 0.000)

Computed properties:
**Relative energy among the computed polymorphs**: 0 meV per atom
**Crystal system**: tetragonal
**Density of states at the Fermi level**: 1.77 states/eV/cell
**SG**: I-42d
**Total magnetic moment**: 0.000 μB/f.u.